Entry 1:
# UAs3Pd3 (GGA-PBE, relaxed)
# ΔE_f in eV per atom: -0.4336
# Electronic total energy in eV per cell: -87.70
# Space-group type: No. 148
data_UAs3Pd3
_space_group_name_H-M_alt 'P 1'
_space_group_IT_number 1
_cell_length_a 7.647
_cell_length_b 7.647
_cell_length_c 7.647
_cell_angle_alpha 56.04
_cell_angle_beta 56.04
_cell_angle_gamma 56.04
loop_
_space_group_symop_operation_xyz
'x,y,z'
loop_
_atom_site_label
_atom_site_fract_x
_atom_site_fract_y
_atom_site_fract_z
_atom_site_occupancy
U1 0.168 0.168 0.168 1
U2 0.832 0.832 0.832 1
As1 0.084 0.418 0.757 1
As2 0.243 0.916 0.582 1
As3 0.418 0.757 0.084 1
As4 0.582 0.243 0.916 1
As5 0.757 0.084 0.418 1
As6 0.916 0.582 0.243 1
Pd1 0.054 0.705 0.378 1
Pd2 0.295 0.622 0.946 1
Pd3 0.378 0.054 0.705 1
Pd4 0.622 0.946 0.295 1
Pd5 0.705 0.378 0.054 1
Pd6 0.946 0.295 0.622 1

---

Entry 2:
# UAsPd (GGA-PBE, relaxed)
# ΔE_f in eV per atom: -0.6120
# Electronic total energy in eV per cell: -137.80
# Space-group type: No. 11
data_UAsPd
_space_group_name_H-M_alt 'P 1'
_space_group_IT_number 1
_cell_length_a 6.997
_cell_length_b 4.292
_cell_length_c 11.707
_cell_angle_alpha 90.00
_cell_angle_beta 90.46
_cell_angle_gamma 90.00
loop_
_space_group_symop_operation_xyz
'x,y,z'
loop_
_atom_site_label
_atom_site_fract_x
_atom_site_fract_y
_atom_site_fract_z
_atom_site_occupancy
U1 0.003 0.250 0.296 1
U2 0.342 0.750 0.926 1
U3 0.482 0.750 0.624 1
U4 0.518 0.250 0.376 1
U5 0.658 0.250 0.074 1
U6 0.997 0.750 0.704 1
As1 0.228 0.750 0.417 1
As2 0.239 0.250 0.097 1
As3 0.279 0.250 0.756 1
As4 0.721 0.750 0.244 1
As5 0.761 0.750 0.903 1
As6 0.772 0.250 0.583 1
Pd1 0.010 0.250 0.912 1
Pd2 0.160 0.250 0.542 1
Pd3 0.358 0.750 0.205 1
Pd4 0.642 0.250 0.795 1
Pd5 0.840 0.750 0.458 1
Pd6 0.990 0.750 0.088 1

---

Entry 3:
# VAs2Pd4 (GGA-PBE, relaxed)
# ΔE_f in eV per atom: 0.4510
# Electronic total energy in eV per cell: -36.03
# Space-group type: No. 139
data_VAs2Pd4
_space_group_name_H-M_alt 'P 1'
_space_group_IT_number 1
_cell_length_a 7.102
_cell_length_b 7.102
_cell_length_c 7.102
_cell_angle_alpha 141.08
_cell_angle_beta 141.08
_cell_angle_gamma 56.22
loop_
_space_group_symop_operation_xyz
'x,y,z'
loop_
_atom_site_label
_atom_site_fract_x
_atom_site_fract_y
_atom_site_fract_z
_atom_site_occupancy
V1 0.000 0.000 0.000 1
As1 0.391 0.391 0.000 1
As2 0.609 0.609 0.000 1
Pd1 0.000 0.500 0.500 1
Pd2 0.194 0.194 0.000 1
Pd3 0.500 0.000 0.500 1
Pd4 0.806 0.806 0.000 1

---

Entry 4:
# VAsPd6 (GGA-PBE, relaxed)
# ΔE_f in eV per atom: -0.0557
# Electronic total energy in eV per cell: -45.37
# Space-group type: No. 2
data_VAsPd6
_space_group_name_H-M_alt 'P 1'
_space_group_IT_number 1
_cell_length_a 5.202
_cell_length_b 5.207
_cell_length_c 5.216
_cell_angle_alpha 74.75
_cell_angle_beta 74.60
_cell_angle_gamma 74.63
loop_
_space_group_symop_operation_xyz
'x,y,z'
loop_
_atom_site_label
_atom_site_fract_x
_atom_site_fract_y
_atom_site_fract_z
_atom_site_occupancy
V1 0.000 0.000 0.000 1
As1 0.500 0.500 0.500 1
Pd1 0.017 0.480 0.750 1
Pd2 0.250 0.981 0.522 1
Pd3 0.479 0.750 0.021 1
Pd4 0.521 0.250 0.979 1
Pd5 0.750 0.019 0.478 1
Pd6 0.983 0.520 0.250 1

---

Calculated total magnetic moment (μB per cell), listed in the same order as above: 4.385 16.771 2.079 0.000
Calculated volume (Å³ per atom), listed in the same order as above: 20.514 19.531 20.039 16.064